The following is a GGA-PBE calculation of a geometry-optimized Al2AsSe structure, from Alexandria.

Results
- Crystal system: orthorhombic
- E_form (uncorrected): -0.1312 eV per atom

The structure in extended XYZ format:
```
4
Lattice="3.445 0.000 0.000 0.000 3.577 -0.006 0.000 0.009 6.508" Properties=species:S:1:pos:R:3 pbc="T T T"
As 1.722 0.896 1.625
Se 1.722 2.689 4.876
Al 0.000 2.689 2.986
Al 0.000 2.681 0.258
```